Record 1
Entry from the Alexandria database: an optimized crystal structure of SiSbAs2 (GGA-PBE).

The energy relative to the elements, uncorrected comes out at 0.495 eV per atom. The total energy is -4.216 eV/atom. For the relative energy among the computed polymorphs, the calculation gives 378 meV per atom.

Cell lengths 4.813, 4.813, 3.517 Å; angles 90.00, 90.00, 90.00 degrees
Positions (direct):
Si (0.000, 0.000, 0.000)
Sb (0.500, 0.500, 0.000)
As (0.000, 0.500, 0.500)
As (0.500, 0.000, 0.500)

***

Record 2
Entry from the Alexandria database: an optimized crystal structure of Si2SbAs (GGA-PBE).

The energy relative to the elements, uncorrected comes out at 0.497 eV per atom. The total energy is -4.408 eV/atom. For the relative energy among the computed polymorphs, the calculation gives 306 meV per atom.

Cell lengths 3.380, 3.380, 6.752 Å; angles 90.00, 90.00, 90.00 degrees
Positions (direct):
Si (0.000, 0.000, 0.205)
Si (0.000, 0.000, 0.795)
Sb (0.500, 0.500, 0.500)
As (0.500, 0.500, 0.000)

***

Record 3
Entry from the Alexandria database: an optimized crystal structure of SiSbAs2 (GGA-PBE).

The energy relative to the elements, uncorrected comes out at 0.531 eV per atom. The total energy is -4.180 eV/atom. For the relative energy among the computed polymorphs, the calculation gives 414 meV per atom.

Cell lengths 4.832, 4.832, 4.832 Å; angles 60.00, 60.00, 60.00 degrees
Positions (direct):
Si (0.000, 0.000, 0.000)
Sb (0.750, 0.750, 0.750)
As (0.250, 0.250, 0.250)
As (0.500, 0.500, 0.500)

***

Record 4
Entry from the Alexandria database: an optimized crystal structure of SiSbAs2 (GGA-PBE).

The energy relative to the elements, uncorrected comes out at 0.354 eV per atom. The total energy is -4.357 eV/atom. For the relative energy among the computed polymorphs, the calculation gives 237 meV per atom.

Cell lengths 5.911, 5.911, 4.757 Å; angles 113.54, 113.54, 34.73 degrees
Positions (direct):
Si (0.000, 0.000, 0.000)
Sb (0.500, 0.500, 0.500)
As (0.316, 0.316, 0.818)
As (0.684, 0.684, 0.182)